No. 1
This record from the Alexandria database describes a relaxed structure of Ba4H2N. The functional is PBE-GGA.

```
data_Ba4H2N
_chemical_formula_sum 'Ba8 H4 N2'
_space_group_name_H-M_alt 'I -4 2 m'
_space_group_IT_number 121
_space_group_name_Hall 'I -4 2'
_cell_length_a 6.8673
_cell_length_b 6.8673
_cell_length_c 10.8187
_cell_angle_alpha 90.00
_cell_angle_beta 90.00
_cell_angle_gamma 90.00
loop_
_atom_site_label
_atom_site_type_symbol
_atom_site_fract_x
_atom_site_fract_y
_atom_site_fract_z
Ba1 Ba 0.2168 0.2168 0.1321
H1 H 0.0000 0.5000 0.2500
N1 N 0.0000 0.0000 0.0000
```

Summary:
DOS at the Fermi energy = 0.635 states/eV per atom
E above lowest polymorph = 0.0 meV/atom
total DFT energy (no corrections) = -49.84 eV per cell

No. 2
This record from the Alexandria database describes a relaxed structure of K2CeTlBr8. The functional is PBE-GGA.

```
data_K2CeTlBr8
_chemical_formula_sum 'K2 Ce1 Tl1 Br8'
_space_group_name_H-M_alt 'P -1'
_space_group_IT_number 2
_space_group_name_Hall '-P 1'
_cell_length_a 6.3696
_cell_length_b 7.8109
_cell_length_c 10.0070
_cell_angle_alpha 90.22
_cell_angle_beta 90.66
_cell_angle_gamma 90.11
loop_
_atom_site_label
_atom_site_type_symbol
_atom_site_fract_x
_atom_site_fract_y
_atom_site_fract_z
K1 K 0.0068 0.9997 0.2744
Ce1 Ce 0.5000 0.5000 0.5000
Tl1 Tl 0.5000 0.5000 0.0000
Br1 Br 0.2501 0.3778 0.2870
Br2 Br 0.2560 0.3701 0.7085
Br3 Br 0.2669 0.9834 0.9996
Br4 Br 0.2854 0.8116 0.5048
```

Summary:
ΔE_f (raw) = -1344 meV/atom
DOS at the Fermi energy = 0.176 states/eV per atom
total DFT energy (no corrections) = -40.01 eV per cell

No. 3
This record from the Alexandria database describes a relaxed structure of TcSbBr2. The functional is PBE-GGA.

```
data_TcSbBr2
_chemical_formula_sum 'Tc1 Sb1 Br2'
_space_group_name_H-M_alt 'P 1 2/m 1'
_space_group_IT_number 10
_space_group_name_Hall '-P 2y'
_cell_length_a 5.2074
_cell_length_b 3.3410
_cell_length_c 7.6493
_cell_angle_alpha 90.00
_cell_angle_beta 109.81
_cell_angle_gamma 90.00
loop_
_atom_site_label
_atom_site_type_symbol
_atom_site_fract_x
_atom_site_fract_y
_atom_site_fract_z
Tc1 Tc 0.0000 0.0000 0.0000
Sb1 Sb 0.5000 0.0000 0.0000
Br1 Br 0.1378 0.5000 0.2755
```

Summary:
ΔE_f (raw) = 57 meV/atom
DOS at the Fermi energy = 0.613 states/eV per atom
E above lowest polymorph = 48.1 meV/atom
total DFT energy (no corrections) = -17.61 eV per cell

Q: Among the records above, which one has the lowest DOS at the Fermi energy?
A: K2CeTlBr8

Q: total DFT energy (no corrections) of number 1 (Ba4H2N)?
A: -49.84 eV per cell

Copy entry 1 word for word.
This record from the Alexandria database describes a relaxed structure of Ba4H2N. The functional is PBE-GGA.

```
data_Ba4H2N
_chemical_formula_sum 'Ba8 H4 N2'
_space_group_name_H-M_alt 'I -4 2 m'
_space_group_IT_number 121
_space_group_name_Hall 'I -4 2'
_cell_length_a 6.8673
_cell_length_b 6.8673
_cell_length_c 10.8187
_cell_angle_alpha 90.00
_cell_angle_beta 90.00
_cell_angle_gamma 90.00
loop_
_atom_site_label
_atom_site_type_symbol
_atom_site_fract_x
_atom_site_fract_y
_atom_site_fract_z
Ba1 Ba 0.2168 0.2168 0.1321
H1 H 0.0000 0.5000 0.2500
N1 N 0.0000 0.0000 0.0000
```

Summary:
DOS at the Fermi energy = 0.635 states/eV per atom
E above lowest polymorph = 0.0 meV/atom
total DFT energy (no corrections) = -49.84 eV per cell

Copy entry 2 word for word.
This record from the Alexandria database describes a relaxed structure of K2CeTlBr8. The functional is PBE-GGA.

```
data_K2CeTlBr8
_chemical_formula_sum 'K2 Ce1 Tl1 Br8'
_space_group_name_H-M_alt 'P -1'
_space_group_IT_number 2
_space_group_name_Hall '-P 1'
_cell_length_a 6.3696
_cell_length_b 7.8109
_cell_length_c 10.0070
_cell_angle_alpha 90.22
_cell_angle_beta 90.66
_cell_angle_gamma 90.11
loop_
_atom_site_label
_atom_site_type_symbol
_atom_site_fract_x
_atom_site_fract_y
_atom_site_fract_z
K1 K 0.0068 0.9997 0.2744
Ce1 Ce 0.5000 0.5000 0.5000
Tl1 Tl 0.5000 0.5000 0.0000
Br1 Br 0.2501 0.3778 0.2870
Br2 Br 0.2560 0.3701 0.7085
Br3 Br 0.2669 0.9834 0.9996
Br4 Br 0.2854 0.8116 0.5048
```

Summary:
ΔE_f (raw) = -1344 meV/atom
DOS at the Fermi energy = 0.176 states/eV per atom
total DFT energy (no corrections) = -40.01 eV per cell